Entry 1:
{"formula": "SrAsW2", "functional": "PBEsol", "state": "relaxed", "cell": [[1.697, -2.379, 0.000], [1.697, 2.379, 0.000], [0.000, 0.000, 9.277]], "species": ["Sr", "As", "W", "W"], "fractional_positions": [[0.000, 0.000, 0.000], [0.000, 0.000, 0.500], [0.500, 0.500, 0.296], [0.500, 0.500, 0.704]], "total_magnetization_mub_per_fu": 0.000, "ef_ev_per_atom": 0.91}


Entry 2:
{"formula": "Ca2AlTe", "functional": "PBEsol", "state": "relaxed", "cell": [[4.423, 0.000, 0.000], [0.000, 4.423, 0.000], [0.000, 0.000, 6.324]], "species": ["Ca", "Ca", "Al", "Te"], "fractional_positions": [[0.000, 0.000, 0.000], [0.500, 0.500, 0.500], [0.000, 0.000, 0.500], [0.500, 0.500, 0.000]], "e_form_raw_ev_per_atom": -0.534, "total_magnetization_mub_per_fu": 0.600, "e_above_lowest_polymorph_mev_per_atom": 106}


| no. | calculated volume (Å³/cell) |
| --- | --- |
| 1 | 75 |
| 2 | 124 |